1.
## LiMn2Ni (meta-GGA SCAN)

Data for a PBEsol-optimized structure of LiMn2Ni.

The electronic total energy is -13.83 eV per atom.

Lattice parameters (Å, degrees): 3.948 3.948 3.948 60.00 60.00 60.00
Each line ends with the local moment (μB).
Fractional coordinates of all 4 atoms:
Li 0.250 0.250 0.250  -0.01
Mn 0.000 0.000 0.000  -3.18
Mn 0.750 0.750 0.750  3.33
Ni 0.500 0.500 0.500  0.68

---

2.
## LiHf3Ru (meta-GGA SCAN)

Data for a PBEsol-optimized structure of LiHf3Ru.

The electronic total energy is -44.10 eV per atom.

Lattice parameters (Å, degrees): 4.463 4.463 4.463 90.00 90.00 90.00
Fractional coordinates of all 5 atoms:
Ru 0.500 0.500 0.500
Hf 0.000 0.500 0.000
Hf 0.000 0.000 0.500
Hf 0.500 0.000 0.000
Li 0.000 0.000 0.000

---

3.
## Sr4ZnCu (meta-GGA SCAN)

Data for a PBEsol-optimized structure of Sr4ZnCu.

The electronic total energy is -18.77 eV per atom.

Lattice parameters (Å, degrees): 6.965 6.965 6.965 60.00 60.00 60.00
Fractional coordinates of all 6 atoms:
Cu 0.000 0.000 0.000
Sr 0.375 0.375 0.375
Sr 0.375 0.375 0.875
Sr 0.875 0.375 0.375
Sr 0.375 0.875 0.375
Zn 0.750 0.750 0.750

---

4.
## LiAuIO2 (meta-GGA SCAN)

Data for a PBEsol-optimized structure of LiAuIO2.

The electronic total energy is -24.30 eV per atom. The calculation puts the uncorrected formation energy at -0.147 eV per atom.

Lattice parameters (Å, degrees): 3.896 3.896 6.915 90.00 90.00 90.00
Each line ends with the local moment (μB).
Fractional coordinates of all 5 atoms:
I 0.000 0.000 0.500  0.01
Au 0.000 0.000 0.000  0.29
O 0.000 0.500 0.000  0.42
O 0.500 0.000 0.000  0.42
Li 0.500 0.500 0.500  0.00

---

5.
## LiCd2SbCl (meta-GGA SCAN)

Data for a PBEsol-optimized structure of LiCd2SbCl.

The electronic total energy is -22.00 eV per atom. The calculation puts the uncorrected formation energy at -0.308 eV per atom.

Lattice parameters (Å, degrees): 5.225 5.493 5.493 90.00 90.00 90.00
Fractional coordinates of all 5 atoms:
Sb 0.000 0.000 0.000
Cl 0.500 0.500 0.500
Li 0.500 0.000 0.000
Cd 0.000 0.000 0.500
Cd 0.000 0.500 0.000

---

6.
## TiSbN2 (meta-GGA SCAN)

Data for a PBEsol-optimized structure of TiSbN2.

The electronic total energy is -17.75 eV per atom. The calculation puts the uncorrected formation energy at 0.219 eV per atom.

Lattice parameters (Å, degrees): 3.202 3.202 6.540 75.83 75.83 60.00
Each line ends with the local moment (μB).
Fractional coordinates of all 4 atoms:
Sb 0.500 0.500 0.500  0.04
N 0.894 0.894 0.317  0.00
N 0.106 0.106 0.683  0.00
Ti 0.000 0.000 0.000  0.51